# 1
The following is a GGA-PBE calculation of Nd2Sm2In after structural relaxation, from the Alexandria database.

Unit cell a=8.4443 b=8.4443 c=4.6257 alpha=90.00 beta=90.00 gamma=90.00
Last column: nearest neighbours and their distance in Å.
Positions (direct):
Nd  0.1482  0.3518  0.0000  2 In 3.22, 6 Sm 3.29-3.46, 1 Nd 3.54
Nd  0.3518  0.8518  0.0000  2 In 3.22, 6 Sm 3.29-3.46, 1 Nd 3.54
Nd  0.6482  0.1482  0.0000  2 In 3.22, 6 Sm 3.29-3.46, 1 Nd 3.54
Nd  0.8518  0.6482  0.0000  2 In 3.22, 6 Sm 3.29-3.46, 1 Nd 3.54
Sm  0.1557  0.6557  0.5000  6 Nd 3.29-3.46
Sm  0.3443  0.1557  0.5000  6 Nd 3.29-3.46
Sm  0.6557  0.8443  0.5000  6 Nd 3.29-3.46
Sm  0.8443  0.3443  0.5000  6 Nd 3.29-3.46
In  0.0000  0.0000  0.0000  4 Nd 3.22
In  0.5000  0.5000  0.0000  4 Nd 3.22

Computed properties:
D(E_F): 1.2173 states/eV per atom
Total moment: 0.00 μB/f.u.
Crystal system: tetragonal
Offset from the most stable computed form: 78 kJ/mol of formula units

# 2
The following is a GGA-PBE calculation of Nd9SmIn2 after structural relaxation, from the Alexandria database.

Unit cell a=5.0162 b=5.0162 c=15.4204 alpha=90.00 beta=90.00 gamma=90.00
Last column: nearest neighbours and their distance in Å.
Positions (direct):
Nd  0.0000  0.0000  0.0000  4 Sm 3.55, 8 Nd 3.68
Nd  0.0000  0.0000  0.3388  8 Nd 3.53-3.56, 4 In 3.55
Nd  0.0000  0.0000  0.6612  8 Nd 3.53-3.56, 4 In 3.55
Nd  0.0000  0.5000  0.1746  8 Nd 3.55-3.68, 2 In 3.56, 2 Sm 3.68
Nd  0.0000  0.5000  0.5000  8 Nd 3.53-3.55, 4 In 3.53
Nd  0.0000  0.5000  0.8254  8 Nd 3.55-3.68, 2 In 3.56, 2 Sm 3.68
Nd  0.5000  0.0000  0.1746  8 Nd 3.55-3.68, 2 In 3.56, 2 Sm 3.68
Nd  0.5000  0.0000  0.5000  8 Nd 3.53-3.55, 4 In 3.53
Nd  0.5000  0.0000  0.8254  8 Nd 3.55-3.68, 2 In 3.56, 2 Sm 3.68
Sm  0.5000  0.5000  0.0000  12 Nd 3.55-3.68
In  0.5000  0.5000  0.3387  12 Nd 3.53-3.56
In  0.5000  0.5000  0.6613  12 Nd 3.53-3.56

Computed properties:
D(E_F): 1.2323 states/eV per atom
Total moment: 0.00 μB/f.u.
E: -4.60 eV/atom
Crystal system: tetragonal

# 3
The following is a GGA-PBE calculation of Nd4Sm2In after structural relaxation, from the Alexandria database.

Unit cell a=6.3581 b=6.7664 c=12.4204 alpha=83.07 beta=75.21 gamma=61.99
Last column: nearest neighbours and their distance in Å.
Positions (direct):
Nd  0.0000  0.0000  0.0000  3 Sm 3.39-3.70, 2 In 3.43-3.64, 6 Nd 3.52-3.75
Nd  0.0342  0.1972  0.7179  4 Sm 3.35-3.67, 2 In 3.49-3.55, 5 Nd 3.59-3.70
Nd  0.0862  0.8272  0.5002  3 Sm 3.39-3.71, 2 In 3.43-3.64, 6 Nd 3.51-3.75
Nd  0.3173  0.6312  0.2180  4 Sm 3.35-3.67, 2 In 3.49-3.56, 6 Nd 3.59-3.75
Nd  0.4876  0.1430  0.8664  4 Sm 3.37-3.66, 2 In 3.49-3.57, 6 Nd 3.57-3.70
Nd  0.5437  0.3306  0.5839  3 Sm 3.37-3.67, 2 In 3.45-3.67, 6 Nd 3.51-3.70
Nd  0.7171  0.6843  0.3664  4 Sm 3.37-3.66, 2 In 3.48-3.56, 6 Nd 3.57-3.70
Nd  0.9606  0.4967  0.0841  3 Sm 3.37-3.68, 2 In 3.45-3.68, 6 Nd 3.52-3.70
Sm  0.2295  0.2568  0.4250  7 Nd 3.37-3.71, 1 Sm 3.41, 2 In 3.51-3.71
Sm  0.4543  0.0592  0.1586  7 Nd 3.35-3.68, 1 Sm 3.41, 2 In 3.55-3.67
Sm  0.5725  0.5703  0.9252  7 Nd 3.37-3.70, 1 Sm 3.41, 2 In 3.51-3.71
Sm  0.5981  0.7689  0.6586  7 Nd 3.35-3.67, 1 Sm 3.41, 2 In 3.55-3.66
In  0.0720  0.6693  0.7915  8 Nd 3.43-3.68, 4 Sm 3.51-3.71
In  0.8276  0.1583  0.2916  8 Nd 3.43-3.67, 4 Sm 3.51-3.71

Computed properties:
D(E_F): 1.1814 states/eV per atom
Total moment: 0.00 μB/f.u.
Crystal system: triclinic
Offset from the most stable computed form: 0 kJ/mol of formula units

# 4
The following is a GGA-PBE calculation of NdSm2In4 after structural relaxation, from the Alexandria database.

Unit cell a=7.2473 b=7.2473 c=7.2473 alpha=130.90 beta=130.90 gamma=71.98
Last column: nearest neighbours and their distance in Å.
Positions (direct):
Nd  0.0000  0.0000  0.0000  4 In 3.01
Sm  0.3539  0.3539  0.0000  8 In 3.25-3.46, 1 Sm 3.43
Sm  0.6461  0.6461  0.0000  8 In 3.25-3.46, 1 Sm 3.43
In  0.0000  0.5000  0.5000  2 In 2.93, 2 Nd 3.01
In  0.2500  0.7500  0.5000  2 In 2.93, 4 Sm 3.25
In  0.5000  0.0000  0.5000  2 In 2.93, 2 Nd 3.01
In  0.7500  0.2500  0.5000  2 In 2.93, 4 Sm 3.25

Computed properties:
D(E_F): 0.6405 states/eV per atom
Total moment: 0.00 μB/f.u.
Crystal system: tetragonal
Offset from the most stable computed form: 52 kJ/mol of formula units

# 5
The following is a GGA-PBE calculation of Nd4SmIn3 after structural relaxation, from the Alexandria database.

Unit cell a=10.1866 b=10.1866 c=10.1866 alpha=151.55 beta=151.55 gamma=40.67
Last column: nearest neighbours and their distance in Å.
Positions (direct):
Nd  0.1322  0.6322  0.5000  6 In 3.36-3.56, 4 Nd 3.54, 2 Sm 3.56
Nd  0.3678  0.8678  0.5000  6 In 3.36-3.56, 4 Nd 3.54, 2 Sm 3.56
Nd  0.6322  0.1322  0.5000  6 In 3.36-3.56, 4 Nd 3.54, 2 Sm 3.56
Nd  0.8678  0.3678  0.5000  6 In 3.36-3.56, 4 Nd 3.54, 2 Sm 3.56
Sm  0.0000  0.0000  0.0000  4 In 3.54, 8 Nd 3.56
In  0.2508  0.2508  0.0000  8 Nd 3.36-3.38, 4 In 3.54
In  0.5000  0.5000  0.0000  4 Sm 3.54, 8 Nd 3.56
In  0.7492  0.7492  0.0000  8 Nd 3.36-3.38, 4 In 3.54

Computed properties:
D(E_F): 1.2837 states/eV per atom
Total moment: 0.69 μB/f.u.
Crystal system: tetragonal
Offset from the most stable computed form: 0 kJ/mol of formula units

# 6
The following is a GGA-PBE calculation of Nd4Sm5In after structural relaxation, from the Alexandria database.

Unit cell a=8.1966 b=8.1966 c=8.1966 alpha=97.69 beta=97.69 gamma=137.08
Last column: nearest neighbours and their distance in Å.
Positions (direct):
Nd  0.0000  0.3111  0.3111  3 Sm 3.39-3.58, 1 In 3.74
Nd  0.0000  0.6889  0.6889  3 Sm 3.39-3.58, 1 In 3.74
Nd  0.3111  0.0000  0.3111  3 Sm 3.39-3.58, 1 In 3.74
Nd  0.6889  0.0000  0.6889  3 Sm 3.39-3.58, 1 In 3.74
Sm  0.3201  0.3201  0.6284  1 In 3.16, 1 Sm 3.32, 2 Nd 3.39
Sm  0.3201  0.6916  0.0000  1 In 3.16, 1 Sm 3.32, 2 Nd 3.39
Sm  0.6916  0.3201  0.0000  1 In 3.16, 1 Sm 3.32, 2 Nd 3.39
Sm  0.6916  0.6916  0.3716  1 In 3.16, 1 Sm 3.32, 2 Nd 3.39
Sm  0.7931  0.7931  0.0000  2 In 2.89-3.11
In  0.2744  0.2744  0.0000  6 Sm 2.89-3.16

Computed properties:
D(E_F): 1.3778 states/eV per atom
Total moment: 0.00 μB/f.u.
Crystal system: tetragonal
Offset from the most stable computed form: 80 kJ/mol of formula units